Record 1
Here is CaTb2Hg9 after structural relaxation from Alexandria. Energies are from PBE-GGA.

Computed properties:
Calculated formation energy = -0.341 eV per atom
Magnetic moment = 0.0 μB per cell
Space group = P4/mmm
DOS(E_F) = 6.54 states/eV per cell

abc: 4.673 4.673 13.690
angles: 90.00 90.00 90.00
Fractional coordinates of all 12 atoms:
Ca1 0.000 0.000 0.000
Hg1 0.500 0.000 0.829
Hg2 0.500 0.000 0.171
Hg3 0.500 0.000 0.500
Hg4 0.500 0.500 0.337
Hg5 0.000 0.500 0.829
Hg6 0.000 0.500 0.500
Hg7 0.500 0.500 0.000
Hg8 0.500 0.500 0.663
Hg9 0.000 0.500 0.171
Tb1 0.000 0.000 0.666
Tb2 0.000 0.000 0.334


Record 2
Here is Pr3Ho4Zn4 after structural relaxation from Alexandria. Energies are from PBE-GGA.

Computed properties:
Calculated formation energy = -0.141 eV per atom
Magnetic moment = 0.0 μB per cell
Space group = Immm
DOS(E_F) = 11.51 states/eV per cell

abc: 4.888 7.707 9.160
angles: 114.88 105.47 90.00
Fractional coordinates of all 11 atoms:
Ho1 0.327 0.540 0.653
Ho2 0.673 0.460 0.347
Ho3 0.327 0.113 0.653
Ho4 0.673 0.887 0.347
Zn1 0.791 0.291 0.583
Zn2 0.209 0.709 0.417
Zn3 0.500 0.828 0.000
Zn4 0.500 0.172 0.000
Pr1 0.111 0.111 0.223
Pr2 0.000 0.500 0.000
Pr3 0.889 0.889 0.777


Record 3
Here is SrPuSe2F after structural relaxation from Alexandria. Energies are from PBE-GGA.

Computed properties:
Formation energy without anion corrections = -2.287 eV/atom
Magnetic moment = 10.0 μB per cell
Space group = P4/nmm
DOS(E_F) = 18.31 states/eV per cell

abc: 4.149 4.149 14.400
angles: 90.00 90.00 90.00
Fractional coordinates of all 10 atoms:
F1 0.500 0.500 0.500
F2 0.000 0.000 0.500
Se1 0.000 0.500 0.094
Se2 0.500 0.000 0.906
Se3 0.000 0.500 0.700
Se4 0.500 0.000 0.300
Pu1 0.500 0.000 0.113
Pu2 0.000 0.500 0.887
Sr1 0.000 0.500 0.401
Sr2 0.500 0.000 0.599


Record 4
Here is AsHRh after structural relaxation from Alexandria. Energies are from PBE-GGA.

Computed properties:
Polymorph energy (0 for the lowest one) = 75 meV/atom
Magnetic moment = 0.0 μB per cell
Space group = R3m
DOS(E_F) = 2.84 states/eV per cell

abc: 3.228 3.228 12.557
angles: 90.00 90.00 120.00
Fractional coordinates of all 9 atoms:
H1 0.000 0.000 0.591
H2 0.667 0.333 0.924
H3 0.333 0.667 0.258
Rh1 0.000 0.000 0.288
Rh2 0.667 0.333 0.621
Rh3 0.333 0.667 0.954
As1 0.667 0.333 0.419
As2 0.333 0.667 0.752
As3 0.000 0.000 0.086


Record 5
Here is Pm4HgSbTe2 after structural relaxation from Alexandria. Energies are from PBE-GGA.

Computed properties:
Formation energy without anion corrections = -1.120 eV/atom
Magnetic moment = 0.0 μB per cell
Space group = P2/m
DOS(E_F) = 5.95 states/eV per cell

abc: 4.399 7.822 7.731
angles: 71.27 90.00 90.00
Fractional coordinates of all 8 atoms:
Te1 0.500 0.000 0.500
Te2 0.000 0.000 0.000
Pm1 0.500 0.746 0.252
Pm2 0.500 0.254 0.748
Pm3 0.000 0.257 0.247
Pm4 0.000 0.743 0.753
Hg1 0.000 0.500 0.500
Sb1 0.500 0.500 0.000


Record 6
Here is Cd2MoOs after structural relaxation from Alexandria. Energies are from PBE-GGA.

Computed properties:
Calculated formation energy = 0.660 eV per atom
Polymorph energy (0 for the lowest one) = 470 meV/atom
Magnetic moment = 0.6 μB per cell
Space group = Cmmm
DOS(E_F) = 4.47 states/eV per cell

abc: 2.783 2.783 9.696
angles: 90.00 90.00 112.03
Fractional coordinates of all 4 atoms:
Cd1 0.000 0.000 0.996
Cd2 0.000 0.000 0.504
Mo1 0.500 0.500 0.250
Os1 0.500 0.500 0.750


Record 7
Here is Ca2MnOs after structural relaxation from Alexandria. Energies are from PBE-GGA.

Computed properties:
Calculated formation energy = 0.338 eV per atom
Polymorph energy (0 for the lowest one) = 0 meV/atom
Magnetic moment = 0.0 μB per cell
Space group = Pm
DOS(E_F) = 4.53 states/eV per cell

abc: 3.160 3.160 9.384
angles: 70.69 90.00 90.00
Fractional coordinates of all 4 atoms:
Mn1 0.000 0.431 0.568
Os1 0.500 0.820 0.681
Ca1 0.500 0.174 0.321
Ca2 0.000 0.076 0.929